First-principles (GGA-PBE) data for a relaxed SrMgMn2 crystal, as listed in Alexandria via LeMat-Bulk.

The structure in POSCAR format:
```
SrMgMn2
1.0
-0.8146 3.2012 -0.4285
-1.1612 0.1221 3.1196
7.3357 2.2206 2.6436
Mn Sr Mg
2 1 1
direct
0.0000 0.0000 0.0514 Mn
0.5000 0.5000 0.1636 Mn
0.0000 0.0000 0.4685 Sr
0.5000 0.5000 0.8164 Mg
```

Summary:
VASP energy in eV per atom: -5.054
Symmetry: No. 99
DOS at the Fermi energy in states/eV/cell: 4.15
Formation energy from the elements in eV/atom: 0.350